An optimized crystal structure of TaPdS. Source: the Alexandria database, functional GGA-PBE.

Properties
E_form (uncorrected): -0.2346 eV per atom
total energy: -21.88 eV per formula unit
calculated volume: 16.9 Å³ per atom

Cell and atoms, written as CIF:
```
data_TaPdS
_chemical_formula_sum 'Ta2 Pd2 S2'
_cell_length_a 3.0556
_cell_length_b 5.1384
_cell_length_c 6.5633
_cell_angle_alpha 90.00
_cell_angle_beta 100.95
_cell_angle_gamma 90.00
_symmetry_space_group_name_H-M 'P 1 m 1'
_symmetry_Int_Tables_number 6
_symmetry_space_group_name_Hall 'P -2y'
loop_
_atom_site_label
_atom_site_fract_x
_atom_site_fract_y
_atom_site_fract_z
Ta1 0.0000 0.0000 0.0000
Ta2 0.4217 0.5000 0.7881
Pd1 0.2084 0.2500 0.3941
S1 0.0443 0.5000 0.0805
S2 0.3770 0.0000 0.7075
```